# KSb2W PBE-GGA optimized geometry
# Energy above the lowest structure with this stoichiometry = 0.861 eV/atom
# ΔE_f (raw) = 0.96 eV per atom
# Calculated volume = 25.2 Å³/atom
# Crystal system = tetragonal
data_KSb2W
_space_group_name_H-M_alt 'P 1'
_space_group_IT_number 1
_space_group_name_Hall 'P 1'
_cell_length_a 4.199
_cell_length_b 4.896
_cell_length_c 4.896
_cell_angle_alpha 90.00
_cell_angle_beta 90.00
_cell_angle_gamma 90.00
loop_
_atom_site_label
_atom_site_type_symbol
_atom_site_fract_x
_atom_site_fract_y
_atom_site_fract_z
W1 W 0.500 0.500 0.000
Sb1 Sb 0.000 0.500 0.500
K1 K 0.500 0.000 0.500
Sb2 Sb 0.000 0.000 0.000